Crystalline KCoMo2 at its relaxed geometry, computed with PBE.

Computed properties:
**Energy relative to the elements**: 765.9 meV/atom
**Relative energy among the computed polymorphs**: 0.0000 eV per atom
**Final energy**: -0.492 Ry/atom
**SG**: Cmm2 (35)
**DOS(E_F)**: 4.20 states/eV per cell

Lattice parameters (Å, degrees): 2.784 2.784 9.712 90.00 90.00 106.25
Positions (direct):
Co (0.000, 0.000, 0.449)
K (0.500, 0.500, 0.727)
Mo (0.000, 0.000, 0.053)
Mo (0.500, 0.500, 0.272)